one.
VASP calculation (PBE-GGA) on an optimized crystal structure of Ce3S.

The structure in POSCAR format:
```
Ce3S
1.0
-1.7998 4.6001 2.9615
1.7998 -4.6001 2.9615
1.7998 4.6001 -2.9615
Ce S
3 1
Cartesian
0.0000 0.0000 0.0000
1.7998 2.7974 -0.7633
0.0000 1.8027 2.1982
0.0000 4.6001 0.7805
```

two.
VASP calculation (PBE-GGA) on an optimized crystal structure of Ce3S.

The structure in POSCAR format:
```
Ce3S
1.0
4.0645 0.0000 0.0000
0.0000 4.0645 0.0000
0.0000 0.0000 5.5357
Ce S
3 1
Cartesian
0.0000 0.0000 0.0000
0.0000 2.0322 2.3064
2.0322 0.0000 3.2294
2.0322 2.0322 0.0000
```

It is two that is the least stable of them.

one.
VASP calculation (PBE-GGA) on an optimized crystal structure of Ce2SbS5.

The structure in POSCAR format:
```
Ce2SbS5
1.0
2.7070 -6.7244 0.0000
2.7070 6.7244 0.0000
0.0000 0.0000 13.3537
Ce Sb S
4 2 10
Cartesian
2.7070 4.7480 7.5377
2.7070 4.7480 12.4928
2.7070 -4.7480 0.8609
2.7070 -4.7480 5.8160
2.7070 4.2180 3.3384
2.7070 -4.2180 10.0153
2.7070 6.0579 1.5559
2.7070 6.0579 5.1210
2.7070 3.2916 10.0153
2.7070 2.5698 0.9203
2.7070 2.5698 5.7566
2.7070 -2.5698 7.5971
2.7070 -2.5698 12.4334
2.7070 -3.2916 3.3384
2.7070 -6.0579 8.2327
2.7070 -6.0579 11.7978
```

two.
VASP calculation (PBE-GGA) on an optimized crystal structure of Ce2SbS5.

The structure in POSCAR format:
```
Ce2SbS5
1.0
7.7343 0.0000 0.0000
0.0000 11.6352 0.0000
0.0000 0.0000 3.9919
Ce Sb S
4 2 10
Cartesian
0.2533 2.0347 0.0000
3.6139 7.8523 0.0000
4.1204 3.7828 0.0000
7.4810 9.6004 0.0000
0.0000 5.8176 1.9960
3.8672 0.0000 1.9960
0.0000 0.0000 1.9960
1.3498 4.6549 0.0000
1.3577 8.1519 1.9960
2.5094 2.3343 1.9960
2.5174 10.4725 0.0000
3.8672 5.8176 1.9960
5.2169 1.1626 0.0000
5.2249 9.3008 1.9960
6.3766 3.4832 1.9960
6.3846 6.9802 0.0000
```

It is one that is the least stable of them.

one.
VASP calculation (PBE-GGA) on an optimized crystal structure of Ce2SbS.

The structure in POSCAR format:
```
Ce2SbS
1.0
2.0709 1.1956 7.6073
-2.0709 1.1956 7.6073
0.0000 -2.3912 7.6073
Ce Sb S
2 1 1
Cartesian
0.0000 0.0000 0.0000
0.0000 0.0000 3.6003
0.0000 0.0000 13.2319
0.0000 0.0000 9.3627
```

two.
VASP calculation (PBE-GGA) on an optimized crystal structure of Ce2SbS.

The structure in POSCAR format:
```
Ce2SbS
1.0
1.9509 -7.2816 0.0000
1.9509 7.2816 0.0000
0.0000 0.0000 7.4583
Ce Sb S
4 2 2
Cartesian
1.9509 5.4051 3.8763
1.9509 5.4051 7.3111
1.9509 -5.4051 0.1472
1.9509 -5.4051 3.5820
1.9509 0.2526 5.5937
1.9509 -0.2526 1.8646
1.9509 3.3617 1.8646
1.9509 -3.3617 5.5937
```

three.
VASP calculation (PBE-GGA) on an optimized crystal structure of Ce2SbS.

The structure in POSCAR format:
```
Ce2SbS
1.0
2.1173 1.2224 7.0145
-2.1173 1.2224 7.0145
0.0000 -2.4448 7.0145
Ce Sb S
2 1 1
Cartesian
0.0000 0.0000 5.0461
0.0000 0.0000 15.9975
0.0000 0.0000 0.0000
0.0000 0.0000 10.5218
```

It is two that is the least stable of them.

one.
VASP calculation (PBE-GGA) on an optimized crystal structure of CeScS.

The structure in POSCAR format:
```
CeScS
1.0
3.9342 0.0000 0.0000
0.0000 3.9342 0.0000
0.0000 0.0000 4.9415
Ce Sc S
1 1 1
Cartesian
0.0000 0.0000 0.0000
1.9671 1.9671 2.4707
1.9671 1.9671 0.0000
```

two.
VASP calculation (PBE-GGA) on an optimized crystal structure of CeScS.

The structure in POSCAR format:
```
CeScS
1.0
4.4892 0.0000 0.0000
-2.2446 3.8877 0.0000
0.0000 0.0000 3.8320
Ce Sc S
1 1 1
Cartesian
0.0000 0.0000 0.0000
0.0000 2.5918 1.9160
2.2446 1.2959 1.9160
```

It is two that is the least stable of them.